[1]
Computed, not measured: a relaxed CdPbW2 crystal at the PBE-GGA level of DFT.

Calculated values
Formation enthalpy at 0 K in meV per atom: 1078
Excess energy over the best structure of this formula in the dataset in meV/atom: 561.5
Space-group type: F-43m (216)

abc: 4.775 4.775 4.775
angles: 60.00 60.00 60.00
Sites, in units of the cell vectors:
Cd1 0.000 0.000 0.000
Pb1 0.750 0.750 0.750
W1 0.250 0.250 0.250
W2 0.500 0.500 0.500

---

[2]
Computed, not measured: a relaxed CdPbW2 crystal at the PBE-GGA level of DFT.

Calculated values
Formation enthalpy at 0 K in meV per atom: 552
Excess energy over the best structure of this formula in the dataset in meV/atom: 35.4
Space-group type: Pm (6)

abc: 3.253 3.252 8.164
angles: 90.00 90.76 90.00
Sites, in units of the cell vectors:
Cd1 0.000 0.000 0.000
Pb1 0.490 0.500 0.331
W1 0.012 0.000 0.602
W2 0.486 0.500 0.758

---

[3]
Computed, not measured: a relaxed CdPbW2 crystal at the PBE-GGA level of DFT.

Calculated values
Formation enthalpy at 0 K in meV per atom: 1105
Excess energy over the best structure of this formula in the dataset in meV/atom: 588.7
Space-group type: P4/mmm (123)

abc: 4.053 4.053 4.682
angles: 90.00 90.00 90.00
Sites, in units of the cell vectors:
Cd1 0.000 0.000 0.000
Pb1 0.500 0.500 0.000
W1 0.000 0.500 0.500
W2 0.500 0.000 0.500

---

[4]
Computed, not measured: a relaxed CdPb3W crystal at the PBE-GGA level of DFT.

Calculated values
Formation enthalpy at 0 K in meV per atom: 1580
Excess energy over the best structure of this formula in the dataset in meV/atom: 1008.6
Space-group type: Pm-3m (221)

abc: 5.557 5.557 5.557
angles: 90.00 90.00 90.00
Sites, in units of the cell vectors:
Cd1 0.000 0.000 0.000
Pb1 0.000 0.000 0.500
Pb2 0.000 0.500 0.000
Pb3 0.500 0.000 0.000
W1 0.500 0.500 0.500

---

[5]
Computed, not measured: a relaxed CdPbW2 crystal at the PBE-GGA level of DFT.

Calculated values
Formation enthalpy at 0 K in meV per atom: 516
Excess energy over the best structure of this formula in the dataset in meV/atom: 0.0
Space-group type: R3m (160)

abc: 9.993 9.993 9.993
angles: 18.40 18.40 18.40
Sites, in units of the cell vectors:
Cd1 0.000 0.000 0.000
Pb1 0.766 0.766 0.766
W1 0.250 0.250 0.250
W2 0.525 0.525 0.525

---

[6]
Computed, not measured: a relaxed CdPbW2 crystal at the PBE-GGA level of DFT.

Calculated values
Formation enthalpy at 0 K in meV per atom: 865
Excess energy over the best structure of this formula in the dataset in meV/atom: 348.6
Space-group type: Imm2 (44)

abc: 5.716 5.716 5.716
angles: 145.64 129.12 62.84
Sites, in units of the cell vectors:
Cd1 0.000 0.000 0.000
Pb1 0.276 0.776 0.500
W1 0.540 0.540 0.000
W2 0.732 0.232 0.500

---

[7]
Computed, not measured: a relaxed CdPbW4 crystal at the PBE-GGA level of DFT.

Calculated values
Formation enthalpy at 0 K in meV per atom: 817
Space-group type: F-43m (216)

abc: 5.452 5.452 5.452
angles: 60.00 60.00 60.00
Sites, in units of the cell vectors:
Cd1 0.000 0.000 0.000
Pb1 0.750 0.750 0.750
W1 0.373 0.373 0.373
W2 0.373 0.373 0.881
W3 0.373 0.881 0.373
W4 0.881 0.373 0.373

---

[8]
Computed, not measured: a relaxed CdPbW2 crystal at the PBE-GGA level of DFT.

Calculated values
Formation enthalpy at 0 K in meV per atom: 559
Excess energy over the best structure of this formula in the dataset in meV/atom: 42.6
Space-group type: Cmm2 (35)

abc: 2.967 2.967 10.423
angles: 90.00 90.00 112.74
Sites, in units of the cell vectors:
Cd1 0.000 0.000 0.000
Pb1 0.500 0.500 0.682
W1 0.000 0.000 0.428
W2 0.500 0.500 0.238